VASP calculation (PBEsol) on a relaxed structure of BaNi2Te2.

Properties
DOS at the Fermi energy = 0.677 states/eV per atom
formation energy from raw total energies = -0.661 eV per atom
volume = 22.78 Å³ per atom

abc: 6.8942 6.8942 6.8942
angles: 143.75 143.75 52.19
Atoms (fractional coordinates):
Ba1 0.0000 0.0000 0.0000
Ni1 0.2500 0.7500 0.5000
Ni2 0.7500 0.2500 0.5000
Te1 0.3549 0.3549 0.0000
Te2 0.6451 0.6451 0.0000

---

VASP calculation (PBEsol) on a relaxed structure of BaNiTe3.

Properties
DOS at the Fermi energy = 0.633 states/eV per atom
formation energy from raw total energies = -0.633 eV per atom
volume = 27.76 Å³ per atom

abc: 5.1779 5.1779 5.1779
angles: 90.00 90.00 90.00
Atoms (fractional coordinates):
Ba1 0.0000 0.0000 0.0000
Ni1 0.5000 0.5000 0.5000
Te1 0.0000 0.5000 0.5000
Te2 0.5000 0.0000 0.5000
Te3 0.5000 0.5000 0.0000